Material: Ca3Tm3PtO8
Method: DFT, PBE
State: relaxed

Structure (extended XYZ):
```
15
Lattice="-4.434 2.285 -4.246 3.366 -5.647 -1.501 -4.617 -0.135 4.748" Properties=species:S:1:pos:R:3 pbc="T T T"
Ca 0.000 0.000 0.000
Ca 1.683 -2.824 -0.751
Ca -0.534 -1.681 -2.874
Tm -4.525 1.075 0.251
Tm -2.842 -1.749 -0.500
Tm -0.625 -2.891 1.623
Pt -2.308 -0.068 2.374
O -0.636 -2.362 -0.607
O -5.048 -1.135 -0.392
O -2.822 -0.860 -2.568
O -2.862 -2.637 1.569
O -4.557 1.554 -1.954
O -1.127 -5.052 0.955
O -2.366 0.425 0.144
O -3.318 -3.923 -1.143
```

## Properties
VASP energy, eV per atom: -7.030
Space group: C2/m